Record 1
Below is an optimized crystal structure of Zr6Zn2N, with properties calculated at the PBE-GGA level. Values from VASP.

Calculated values
Energy relative to the elements, uncorrected in meV per atom: -309
Magnetization in μB per formula unit: 0.0
Calculated total energy in eV/cell: -64.941
Symmetry: No. 38
Density in g/cm³: 6.8

```
&SYSTEM
  ibrav = 0, nat = 9, ntyp = 3
/
ATOMIC_SPECIES
Zn 65.41 Zn.upf
Zr 91.22 Zr.upf
N 14.01 N.upf
CELL_PARAMETERS angstrom
3.3024 0.0000 0.0000
0.0000 7.8532 0.0000
0.0000 -3.9266 6.5451
ATOMIC_POSITIONS angstrom
Zn 0.0000 -0.0522 4.3128
Zn 0.0000 3.8744 2.2323
Zr 0.0000 6.9038 1.4785
Zr 1.6512 5.4696 3.9112
Zr 1.6512 4.5537 0.0000
Zr 1.6512 1.5430 2.6339
Zr 0.0000 2.9772 5.0666
Zr 0.0000 1.8852 0.0000
N 1.6512 0.3320 0.0000
```

***

Record 2
Below is an optimized crystal structure of Zr8ZnN4, with properties calculated at the PBE-GGA level. Values from VASP.

Calculated values
Energy relative to the elements, uncorrected in meV per atom: -1102
Magnetization in μB per formula unit: 0.0
Calculated total energy in eV/cell: -117.282
Symmetry: No. 12
Density in g/cm³: 6.6

```
&SYSTEM
  ibrav = 0, nat = 13, ntyp = 3
/
ATOMIC_SPECIES
Zr 91.22 Zr.upf
Zn 65.41 Zn.upf
N 14.01 N.upf
CELL_PARAMETERS angstrom
3.2319 0.0000 0.7000
1.5438 8.0354 0.6830
-0.0862 -0.3335 8.2083
ATOMIC_POSITIONS angstrom
Zr 0.5247 0.0950 5.3881
Zr 2.7356 4.9029 2.9913
Zr 1.0019 2.3006 3.1850
Zr 4.2774 7.6563 3.6836
Zr 1.6009 5.1085 8.2300
Zr 3.8002 5.4506 5.8869
Zr 2.0664 2.8483 6.0806
Zr 3.2011 2.6428 0.8420
Zn 1.5861 -0.3085 8.2982
N 1.3608 3.7674 1.5282
N 3.4413 3.9838 7.5438
N 2.4239 6.5932 4.4302
N 2.3781 1.1581 4.6416
```

***

Record 3
Below is an optimized crystal structure of Zr3Zn3N, with properties calculated at the PBE-GGA level. Values from VASP.

Calculated values
Energy relative to the elements, uncorrected in meV per atom: -742
Magnetization in μB per formula unit: 0.0
Calculated total energy in eV/cell: -171.948
Symmetry: No. 227
Density in g/cm³: 7.1

```
&SYSTEM
  ibrav = 0, nat = 28, ntyp = 3
/
ATOMIC_SPECIES
Zr 91.22 Zr.upf
Zn 65.41 Zn.upf
N 14.01 N.upf
CELL_PARAMETERS angstrom
8.6150 0.0000 0.0000
4.3075 7.4608 0.0000
4.3075 2.4869 7.0341
ATOMIC_POSITIONS angstrom
Zr 11.3168 6.5338 1.3111
Zr 5.9132 1.5599 3.0696
Zr 8.6150 8.0936 5.7231
Zr 5.9132 3.4140 5.7231
Zr 11.3168 3.4140 5.7231
Zr 5.9132 3.4140 0.4475
Zr 4.3075 0.6328 0.4475
Zr 5.9132 6.5338 1.3111
Zr 2.7018 1.5599 3.0696
Zr 8.6150 1.8541 1.3111
Zr 4.3075 4.3411 3.0696
Zr 2.7018 3.4140 0.4475
Zn 6.4613 6.2173 4.3963
Zn 8.6150 6.5854 2.9473
Zn 10.7688 6.2173 4.3963
Zn 12.9225 7.4608 3.5663
Zn 11.5269 8.2666 5.8454
Zn 8.6150 2.4869 4.3963
Zn 10.0106 4.1681 2.9473
Zn 12.9225 5.8493 5.8454
Zn 7.2194 4.1681 2.9473
Zn 8.6150 4.9739 0.8793
Zn 8.6150 4.9739 5.2263
Zn 14.3181 8.2666 5.8454
N 4.3075 4.9739 0.8793
N 4.3075 2.4869 4.3963
N 6.4613 1.2435 0.8793
N 2.1538 1.2435 0.8793
```